Material: W3Se
Method: DFT, PBE
State: relaxed

Results
The final energy comes out at -155.8 eV/cell. Its energy above the most stable polymorph in this dataset is 0.454 eV per atom. For the density of states at the Fermi level, the calculation gives 12.861 states/eV/cell. Its raw formation energy is 0.8509 eV per atom. The volume is 16.45 Å³ per atom. For the mass density, the calculation gives 15.91 g/cm3.

abc: 5.557 5.557 9.842
angles: 90.00 90.00 120.00
Fractional coordinates of all 16 atoms:
Se1 0.000 0.000 0.000
Se2 0.000 0.000 0.500
Se3 0.333 0.667 0.250
Se4 0.667 0.333 0.750
W1 0.500 0.000 0.000
W2 0.500 0.000 0.500
W3 0.000 0.500 0.000
W4 0.500 0.500 0.000
W5 0.500 0.500 0.500
W6 0.000 0.500 0.500
W7 0.829 0.658 0.250
W8 0.171 0.342 0.750
W9 0.342 0.171 0.250
W10 0.829 0.171 0.250
W11 0.171 0.829 0.750
W12 0.658 0.829 0.750